(1)
Li3Au, PBEsol geometry, DFT SCAN; crystal system = cubic; ΔE_f = -0.478 eV/atom; size of the total moment = 0.00 μB per cell
1.0
4.9520 0.0000 0.0000
0.0000 4.9520 0.0000
0.0000 0.0000 4.9520
Li Au
6 2
Direct
0.0000 0.2500 0.5000
0.0000 0.7500 0.5000
0.2500 0.5000 0.0000
0.5000 0.0000 0.2500
0.5000 0.0000 0.7500
0.7500 0.5000 0.0000
0.0000 0.0000 0.0000
0.5000 0.5000 0.5000

***

(2)
CaIn2Te, PBEsol geometry, DFT SCAN; formation energy without anion corrections = -0.3913 eV per atom; crystal system = cubic; size of the total moment = 0.00 μB per cell
1.0
7.5840 0.0000 0.0000
0.0000 7.5840 0.0000
0.0000 0.0000 7.5840
Ca In Te
4 8 4
Direct
0.0000 0.0000 0.0000
0.0000 0.5000 0.5000
0.5000 0.0000 0.5000
0.5000 0.5000 0.0000
0.0000 0.0000 0.5000
0.0000 0.5000 0.0000
0.2500 0.2500 0.7500
0.2500 0.7500 0.2500
0.5000 0.0000 0.0000
0.5000 0.5000 0.5000
0.7500 0.2500 0.2500
0.7500 0.7500 0.7500
0.2500 0.2500 0.2500
0.2500 0.7500 0.7500
0.7500 0.2500 0.7500
0.7500 0.7500 0.2500

***

(3)
Fe2NiPb, PBEsol geometry, DFT SCAN; crystal system = tetragonal; ΔE_f = 0.294 eV/atom; size of the total moment = 11.57 μB per cell
1.0
3.9289 0.0000 0.0000
0.0000 3.9289 0.0000
0.0000 0.0000 7.0631
Fe Ni Pb
4 2 2
Direct
0.0000 0.0000 0.0000
0.0000 0.5000 0.2500
0.5000 0.0000 0.7500
0.5000 0.5000 0.5000
0.0000 0.5000 0.7500
0.5000 0.0000 0.2500
0.0000 0.0000 0.5000
0.5000 0.5000 0.0000

***

(4)
RbSbNF2, PBEsol geometry, DFT SCAN; formation energy without anion corrections = -1.3234 eV per atom; crystal system = tetragonal; size of the total moment = 0.00 μB per cell
1.0
4.6068 0.0000 0.0000
0.0000 4.6068 0.0000
0.0000 0.0000 4.0141
Rb Sb N F
1 1 1 2
Direct
0.0000 0.0000 0.0000
0.5000 0.5000 0.5000
0.5000 0.5000 0.0000
0.0000 0.5000 0.5000
0.5000 0.0000 0.5000

***

(5)
TcIrBr2, PBEsol geometry, DFT SCAN; formation energy without anion corrections = 1.4455 eV per atom; crystal system = tetragonal; energy above the lowest structure with this stoichiometry = 4.29 eV/f.u.; size of the total moment = 0.00 μB per cell
1.0
3.1694 0.0000 0.0000
0.0000 3.1694 0.0000
0.0000 0.0000 6.3944
Tc Ir Br
1 1 2
Direct
0.0000 0.0000 0.0000
0.0000 0.0000 0.5000
0.5000 0.5000 0.2392
0.5000 0.5000 0.7608

***

(6)
ZrMoAs2, PBEsol geometry, DFT SCAN; crystal system = trigonal; energy above the lowest structure with this stoichiometry = 0.50 eV/f.u.; ΔE_f = -0.078 eV/atom; size of the total moment = 0.00 μB per cell
1.0
3.2163 0.0000 0.0000
-1.6081 2.7854 0.0000
0.0000 0.0000 24.5612
Zr Mo As
3 3 6
Direct
0.0000 0.0000 0.0000
0.3333 0.6667 0.6667
0.6667 0.3333 0.3333
0.0000 0.0000 0.2468
0.3333 0.6667 0.9134
0.6667 0.3333 0.5801
0.0000 0.0000 0.5106
0.0000 0.0000 0.7516
0.3333 0.6667 0.1772
0.3333 0.6667 0.4182
0.6667 0.3333 0.0849
0.6667 0.3333 0.8439

***

(7)
NbFeBP2, PBEsol geometry, DFT SCAN; crystal system = tetragonal; ΔE_f = 1.081 eV/atom; size of the total moment = 3.34 μB per cell
1.0
4.7275 0.0000 0.0000
0.0000 4.7275 0.0000
0.0000 0.0000 4.2066
Nb Fe B P
1 1 1 2
Direct
0.0000 0.0000 0.0000
0.5000 0.5000 0.5000
0.0000 0.0000 0.5000
0.0000 0.5000 0.0000
0.5000 0.0000 0.0000

***

(8)
Sr4Mn3O10, PBEsol geometry, DFT SCAN; formation energy without anion corrections = -2.7644 eV per atom; crystal system = orthorhombic; size of the total moment = 18.00 μB per cell
1.0
2.7182 -6.1895 0.0000
2.7182 6.1895 0.0000
0.0000 0.0000 12.5074
Sr Mn O
8 6 20
Direct
0.0289 0.9711 0.8572
0.2369 0.7631 0.6130
0.2631 0.7369 0.1130
0.4711 0.5289 0.3572
0.5289 0.4711 0.6428
0.7369 0.2631 0.8870
0.7631 0.2369 0.3870
0.9711 0.0289 0.1428
0.0000 0.0000 0.5000
0.1333 0.8667 0.3480
0.3667 0.6333 0.8480
0.5000 0.5000 0.0000
0.6333 0.3667 0.1520
0.8667 0.1333 0.6520
0.0364 0.9636 0.6463
0.1198 0.3395 0.5363
0.1338 0.3662 0.7500
0.1605 0.3802 0.9637
0.2236 0.7764 0.8446
0.2764 0.7236 0.3446
0.3395 0.1198 0.4637
0.3662 0.1338 0.2500
0.3802 0.1605 0.0363
0.4636 0.5364 0.1463
0.5364 0.4636 0.8537
0.6198 0.8395 0.9637
0.6338 0.8662 0.7500
0.6605 0.8802 0.5363
0.7236 0.2764 0.6554
0.7764 0.2236 0.1554
0.8395 0.6198 0.0363
0.8662 0.6338 0.2500
0.8802 0.6605 0.4637
0.9636 0.0364 0.3537